A plane-wave DFT calculation with PBE was carried out for a relaxed structure of Pm6Te5H.

Computed properties:
Calculated density ... 7081 kg/m3
Spin magnetization ... 0.0 μB per formula unit
Space-group type ... C2/m (12)
Final energy ... -0.1879 hartree per atom

a b c (Å): 7.5951 7.5956 7.5635
angles (deg): 59.86 79.96 69.68
Last column: nearest neighbours and their distance in Å.
Element x y z (fractional)
Pm1 0.7763 0.0712 0.3018  1 H 2.76
Pm2 0.2237 0.6270 0.3018  1 H 2.76
Pm3 0.2611 0.2317 0.0000  1 H 3.07, 5 Te 3.13-3.16
Pm4 0.7389 0.7683 0.0000  1 H 3.07, 5 Te 3.13-3.16
Pm5 0.7763 0.3730 0.6982  1 H 2.76
Pm6 0.2237 0.9288 0.6982  1 H 2.76
Te1 0.5000 0.1845 0.6309  6 Pm 3.15-3.23
Te2 0.0000 0.3381 0.3239  6 Pm 3.12-3.14
Te3 0.5000 0.5000 0.0000  6 Pm 3.11-3.16
Te4 0.0000 0.6619 0.6761  6 Pm 3.12-3.14
Te5 0.5000 0.8155 0.3691  6 Pm 3.15-3.23
H1 0.0000 0.0000 0.0000  6 Pm 2.76-3.07